1) {"formula": "Tc5As", "functional": "PBE-GGA", "state": "optimized geometry", "cell": [[4.7577, 0.0000, 0.0000], [-2.3788, 4.1203, 0.0000], [0.0000, 0.0000, 4.4488]], "species": ["Tc", "Tc", "Tc", "Tc", "Tc", "As"], "frac_coords": [[0.0000, 0.6709, 0.0000], [0.3291, 0.3291, 0.0000], [0.3333, 0.6667, 0.5000], [0.6667, 0.3333, 0.5000], [0.6709, 0.0000, 0.0000], [0.0000, 0.0000, 0.5000]], "sg": "P-62m", "crystal_system": "hexagonal"}

=====

2) {"formula": "Tc5As", "functional": "PBE-GGA", "state": "optimized geometry", "cell": [[0.0000, 3.6146, 3.6146], [3.6146, 0.0000, 3.6146], [3.6146, 3.6146, 0.0000]], "species": ["Tc", "Tc", "Tc", "Tc", "Tc", "As"], "frac_coords": [[0.0000, 0.0000, 0.0000], [0.1267, 0.6244, 0.6244], [0.6244, 0.1267, 0.6244], [0.6244, 0.6244, 0.1267], [0.6244, 0.6244, 0.6244], [0.2500, 0.2500, 0.2500]], "sg": "F-43m", "crystal_system": "cubic"}

=====

3) {"formula": "Tc5As", "functional": "PBE-GGA", "state": "optimized geometry", "cell": [[4.3758, 0.0000, 0.0000], [0.0000, 1.4245, 7.0524], [0.0000, -1.4245, 7.0524]], "species": ["Tc", "Tc", "Tc", "Tc", "Tc", "As"], "frac_coords": [[0.0000, 0.0000, 0.0000], [0.0000, 0.3314, 0.3314], [0.0000, 0.6632, 0.6632], [0.5000, 0.1079, 0.1079], [0.5000, 0.7696, 0.7696], [0.5000, 0.4472, 0.4472]], "sg": "Amm2", "crystal_system": "orthorhombic"}

=====

Most favorable structure: 3). The second most favorable one is 10 meV/atom above it.

=====

1) {"formula": "TcAs", "functional": "PBE-GGA", "state": "optimized geometry", "cell": [[4.3300, -1.5853, 0.0000], [4.3300, 1.5853, 0.0000], [-1.3967, 0.0000, 6.7457]], "species": ["Tc", "Tc", "Tc", "As", "As", "As"], "frac_coords": [[0.0000, 0.0000, 0.0000], [0.0766, 0.0766, 0.5948], [0.7590, 0.7590, 0.3002], [0.3749, 0.3749, 0.6797], [0.4756, 0.4756, 0.2903], [0.7000, 0.7000, 0.9141]], "sg": "Cm", "crystal_system": "monoclinic"}

=====

2) {"formula": "TcAs", "functional": "PBE-GGA", "state": "optimized geometry", "cell": [[11.4302, 0.0000, 0.0000], [0.0000, 11.4302, 0.0000], [0.0000, 0.0000, 3.1100]], "species": ["Tc", "Tc", "Tc", "Tc", "Tc", "Tc", "Tc", "Tc", "As", "As", "As", "As", "As", "As", "As", "As"], "frac_coords": [[0.0437, 0.6026, 0.0000], [0.0903, 0.2632, 0.5000], [0.2632, 0.9097, 0.5000], [0.3974, 0.0437, 0.0000], [0.6026, 0.9563, 0.0000], [0.7368, 0.0903, 0.5000], [0.9097, 0.7368, 0.5000], [0.9563, 0.3974, 0.0000], [0.1364, 0.7377, 0.5000], [0.1742, 0.4086, 0.0000], [0.2623, 0.1364, 0.5000], [0.4086, 0.8258, 0.0000], [0.5914, 0.1742, 0.0000], [0.7377, 0.8636, 0.5000], [0.8258, 0.5914, 0.0000], [0.8636, 0.2623, 0.5000]], "sg": "P4/m", "crystal_system": "tetragonal"}

=====

Most favorable structure: 1). The second most favorable one is 236 meV/atom above it.

=====

1) {"formula": "TcAs", "functional": "PBE-GGA", "state": "optimized geometry", "cell": [[1.4691, 0.8482, 10.2668], [-1.4691, 0.8482, 10.2668], [0.0000, -1.6964, 10.2668]], "species": ["Tc", "Tc", "As", "As"], "frac_coords": [[0.1311, 0.1311, 0.1311], [0.8689, 0.8689, 0.8689], [0.4030, 0.4030, 0.4030], [0.5970, 0.5970, 0.5970]], "sg": "R-3m", "crystal_system": "trigonal"}

=====

2) {"formula": "TcAs", "functional": "PBE-GGA", "state": "optimized geometry", "cell": [[4.9997, 0.0000, 0.0000], [0.0000, 4.9997, 0.0000], [0.0000, 0.0000, 4.9997]], "species": ["Tc", "Tc", "Tc", "Tc", "As", "As", "As", "As"], "frac_coords": [[0.1380, 0.1380, 0.1380], [0.3620, 0.8620, 0.6380], [0.6380, 0.3620, 0.8620], [0.8620, 0.6380, 0.3620], [0.0780, 0.5780, 0.9220], [0.4220, 0.4220, 0.4220], [0.5780, 0.9220, 0.0780], [0.9220, 0.0780, 0.5780]], "sg": "P2_13", "crystal_system": "cubic"}

=====

Most favorable structure: 2). The second most favorable one is 213 meV/atom above it.